This record from the Alexandria database describes crystalline MgCd2Rh2 at its relaxed geometry. The functional is PBE.

CIF file:
```
data_MgCd2Rh2
_chemical_formula_sum 'Mg2 Cd4 Rh4'
_cell_length_a 6.7835
_cell_length_b 6.7835
_cell_length_c 3.9850
_cell_angle_alpha 90.00
_cell_angle_beta 90.00
_cell_angle_gamma 90.00
_space_group_name_H-M_alt 'P 4/m b m'
_space_group_IT_number 127
_space_group_name_Hall '-P 4 2ab'
loop_
_atom_site_label
_atom_site_fract_x
_atom_site_fract_y
_atom_site_fract_z
Mg1 0.0000 0.0000 0.0000
Cd1 0.1625 0.3375 0.5000
Rh1 0.1373 0.6373 0.0000
```

The total energy comes out at -38.2 eV/cell. The value obtained for the density is 8.24 g cm⁻³. As for the size of the total moment: 0.00 μB/cell. As for the relative energy among the computed polymorphs: 0 meV per atom. As for the calculated volume: 183.4 Å³ per cell.



This record from the Alexandria database describes crystalline Mg2Cd8Rh at its relaxed geometry. The functional is PBE.

CIF file:
```
data_Mg2Cd8Rh
_chemical_formula_sum 'Mg4 Cd16 Rh2'
_cell_length_a 13.1316
_cell_length_b 7.5397
_cell_length_c 5.1846
_cell_angle_alpha 90.00
_cell_angle_beta 103.75
_cell_angle_gamma 90.00
_space_group_name_H-M_alt 'C 1 2/m 1'
_space_group_IT_number 12
_space_group_name_Hall '-C 2y'
loop_
_atom_site_label
_atom_site_fract_x
_atom_site_fract_y
_atom_site_fract_z
Mg1 0.1118 0.0000 0.4934
Cd1 0.0670 0.3068 0.8043
Cd2 0.1540 0.5000 0.3600
Cd3 0.2202 0.0000 0.0664
Rh1 0.0000 0.0000 0.0000
```

The total energy comes out at -36.9 eV/cell. The value obtained for the density is 7.00 g cm⁻³. As for the size of the total moment: 0.00 μB/cell. As for the calculated volume: 498.6 Å³ per cell.



This record from the Alexandria database describes crystalline Mg6Cd3Rh at its relaxed geometry. The functional is PBE.

CIF file:
```
data_Mg6Cd3Rh
_chemical_formula_sum 'Mg12 Cd6 Rh2'
_cell_length_a 10.1653
_cell_length_b 5.8061
_cell_length_c 7.4874
_cell_angle_alpha 90.00
_cell_angle_beta 108.05
_cell_angle_gamma 90.00
_space_group_name_H-M_alt 'C 1 2/m 1'
_space_group_IT_number 12
_space_group_name_Hall '-C 2y'
loop_
_atom_site_label
_atom_site_fract_x
_atom_site_fract_y
_atom_site_fract_z
Mg1 0.1428 0.2444 0.3189
Mg2 0.1542 0.0000 0.8836
Cd1 0.0000 0.5000 0.0000
Cd2 0.1126 0.5000 0.6820
Rh1 0.0000 0.0000 0.5000
```

The total energy comes out at -41.1 eV/cell. The value obtained for the density is 4.63 g cm⁻³. As for the size of the total moment: 0.00 μB/cell. As for the relative energy among the computed polymorphs: 106 meV per atom. As for the calculated volume: 420.2 Å³ per cell.